# 1
BeCu2Si | PBE | relaxed

a = 5.633 Å, b = 5.633 Å, c = 5.633 Å
α = 90.00°, β = 90.00°, γ = 90.00°
Space group Pm-3m (No. 221)
Unique sites:
1 Be 0.000 0.000 0.000 x1
2 Be 0.000 0.000 0.500 x3
3 Cu 0.236 0.236 0.236 x8
4 Si 0.000 0.500 0.500 x3
5 Si 0.500 0.500 0.500 x1

Results
Calculated total energy = -64.983 eV/cell

# 2
CoCuBW | PBE | relaxed

a = 5.662 Å, b = 5.662 Å, c = 5.662 Å
α = 90.00°, β = 90.00°, γ = 90.00°
Space group F-43m (No. 216)
Unique sites:
1 Co 0.000 0.000 0.000 x4
2 Cu 0.000 0.000 0.500 x4
3 B 0.250 0.250 0.750 x4
4 W 0.250 0.250 0.250 x4

Results
Total magnetic moment = 0.00 μB per atom
Distance to the lowest polymorph of the same formula = 269 meV per atom

# 3
HfNi4Pt | PBE | relaxed

a = 6.747 Å, b = 6.747 Å, c = 6.747 Å
α = 90.00°, β = 90.00°, γ = 90.00°
Space group F-43m (No. 216)
Unique sites:
1 Hf 0.000 0.000 0.000 x4
2 Ni 0.124 0.124 0.376 x16
3 Pt 0.250 0.250 0.750 x4

Results
Total magnetic moment = 0.03 μB per atom
Energy of formation from the pure elements = -528 meV per atom

# 4
BePtNO | PBE | relaxed

a = 3.586 Å, b = 3.586 Å, c = 6.616 Å
α = 90.00°, β = 90.00°, γ = 90.00°
Space group P4/nmm (No. 129, origin choice 2)
Unique sites:
1 Be 0.250 0.250 0.040 x2
2 Pt 0.250 0.750 0.500 x2
3 N 0.250 0.250 0.311 x2
4 O 0.250 0.750 0.000 x2

Results
Total magnetic moment = 0.00 μB per atom
Distance to the lowest polymorph of the same formula = 445 meV per atom

# 5
Ho2Sc2CF5 | PBE | relaxed

a = 14.067 Å, b = 3.319 Å, c = 6.834 Å
α = 90.00°, β = 106.79°, γ = 90.00°
Space group C2/m (No. 12)
Unique sites:
1 Ho 0.000 0.000 0.239 x4
2 Sc 0.160 0.500 0.105 x4
3 C 0.000 0.500 0.000 x2
4 F 0.000 0.500 0.500 x2
5 F 0.177 0.000 0.316 x4
6 F 0.178 0.000 0.890 x4

Results
Total magnetic moment = 0.00 μB per atom
Calculated total energy = -134.182 eV/cell

# 6
LuAlCoPd | PBE | relaxed

a = 6.452 Å, b = 6.452 Å, c = 6.452 Å
α = 90.00°, β = 90.00°, γ = 90.00°
Space group F-43m (No. 216)
Unique sites:
1 Lu 0.000 0.000 0.000 x4
2 Al 0.250 0.250 0.250 x4
3 Co 0.000 0.000 0.500 x4
4 Pd 0.250 0.250 0.750 x4

Results
Total magnetic moment = 0.00 μB per atom
Distance to the lowest polymorph of the same formula = 388 meV per atom